[1]
DFT (GGA-PBE) results for a relaxed structure of Pm4Pr5Hg.

Calculated values
**Total moment**: 0.0 Bohr magnetons per cell
**DFT total energy**: -43.123 eV/f.u.
**Energy of formation from the pure elements**: 0.0079 eV per atom

Unit cell a=4.244 b=4.244 c=18.706 alpha=90.00 beta=90.00 gamma=90.00
Space group P4/mmm (No. 123)
Symmetry-distinct sites (fractional):
Pm  0.000  0.000  0.102 [2 per cell]
Pm  0.000  0.000  0.301 [2 per cell]
Pr  0.500  0.500  0.000 [1 per cell]
Pr  0.500  0.500  0.203 [2 per cell]
Pr  0.500  0.500  0.410 [2 per cell]
Hg  0.000  0.000  0.500 [1 per cell]

---

[2]
DFT (GGA-PBE) results for a relaxed structure of KNaAg2Br.

Calculated values
**E_form (uncorrected)**: 161 meV/atom
**Total moment**: 0.0 Bohr magnetons per cell
**DFT total energy**: -8.987 eV/f.u.

Unit cell a=5.964 b=5.964 c=6.056 alpha=90.00 beta=90.00 gamma=90.00
Space group P4/mmm (No. 123)
Symmetry-distinct sites (fractional):
K  0.000  0.000  0.000 [1 per cell]
Na  0.500  0.500  0.500 [1 per cell]
Ag  0.000  0.500  0.000 [2 per cell]
Br  0.000  0.000  0.500 [1 per cell]

---

[3]
DFT (GGA-PBE) results for a relaxed structure of Ca4Si5Ge2.

Calculated values
**E_form (uncorrected)**: -344 meV/atom
**Total moment**: 0.0 Bohr magnetons per cell
**DFT total energy**: -48.136 eV/f.u.

Unit cell a=6.784 b=4.483 c=7.831 alpha=90.00 beta=90.42 gamma=90.00
Space group P2/m (No. 10)
Symmetry-distinct sites (fractional):
Ca  0.238  0.000  0.130 [2 per cell]
Ca  0.255  0.000  0.624 [2 per cell]
Si  0.125  0.500  0.890 [2 per cell]
Si  0.447  0.500  0.347 [2 per cell]
Si  0.500  0.500  0.000 [1 per cell]
Ge  0.088  0.500  0.363 [2 per cell]

---

[4]
DFT (GGA-PBE) results for a relaxed structure of USnSe2N.

Calculated values
**E_form (uncorrected)**: -956 meV/atom
**Total moment**: 3.0 Bohr magnetons per cell
**DFT total energy**: -35.363 eV/f.u.

Unit cell a=3.927 b=3.927 c=14.563 alpha=90.00 beta=90.00 gamma=90.00
Space group P4/nmm (No. 129, origin choice 2)
Symmetry-distinct sites (fractional):
U  0.250  0.250  0.079 [2 per cell]
Sn  0.250  0.250  0.627 [2 per cell]
Se  0.250  0.250  0.397 [2 per cell]
Se  0.250  0.250  0.820 [2 per cell]
N  0.250  0.750  0.000 [2 per cell]

---

[5]
DFT (GGA-PBE) results for a relaxed structure of Dy2Si3Ni5.

Calculated values
**E_form (uncorrected)**: -680 meV/atom
**Total moment**: 0.0 Bohr magnetons per cell
**DFT total energy**: -61.183 eV/f.u.

Unit cell a=3.955 b=22.766 c=6.720 alpha=90.00 beta=90.00 gamma=90.00
Space group Cmc2_1 (No. 36)
Symmetry-distinct sites (fractional):
Dy  0.000  0.050  0.000 [4 per cell]
Dy  0.000  0.338  0.813 [4 per cell]
Si  0.000  0.134  0.679 [4 per cell]
Si  0.000  0.261  0.234 [4 per cell]
Si  0.000  0.470  0.825 [4 per cell]
Ni  0.000  0.073  0.417 [4 per cell]
Ni  0.000  0.209  0.937 [4 per cell]
Ni  0.000  0.230  0.555 [4 per cell]
Ni  0.000  0.354  0.367 [4 per cell]
Ni  0.000  0.441  0.159 [4 per cell]

---

[6]
DFT (GGA-PBE) results for a relaxed structure of La2PmDyBi4.

Calculated values
**Total moment**: 0.0 Bohr magnetons per cell
**DFT total energy**: -42.533 eV/f.u.
**Energy of formation from the pure elements**: -0.9752 eV per atom

Unit cell a=7.989 b=4.624 c=8.002 alpha=90.00 beta=109.51 gamma=90.00
Space group P2/m (No. 10)
Symmetry-distinct sites (fractional):
La  0.000  0.000  0.000 [1 per cell]
La  0.000  0.500  0.500 [1 per cell]
Pm  0.500  0.000  0.500 [1 per cell]
Dy  0.500  0.500  0.000 [1 per cell]
Bi  0.258  0.500  0.250 [2 per cell]
Bi  0.260  0.000  0.756 [2 per cell]

---

[7]
DFT (GGA-PBE) results for a relaxed structure of Hf4Zr3Al.

Calculated values
**Total moment**: 0.0 Bohr magnetons per cell
**DFT total energy**: -69.598 eV/f.u.
**Energy of formation from the pure elements**: -0.0496 eV per atom

Unit cell a=3.168 b=5.432 c=10.364 alpha=85.78 beta=81.29 gamma=89.93
Space group P-1 (No. 2)
Symmetry-distinct sites (fractional):
Hf  0.127  0.374  0.245 [2 per cell]
Hf  0.248  0.749  0.005 [2 per cell]
Zr  0.380  0.116  0.740 [2 per cell]
Zr  0.500  0.500  0.500 [1 per cell]
Al  0.000  0.000  0.500 [1 per cell]

---

[8]
DFT (GGA-PBE) results for a relaxed structure of AcNdAsAu.

Calculated values
**Total moment**: 1.7 Bohr magnetons per cell
**DFT total energy**: -20.205 eV/f.u.
**Energy of formation from the pure elements**: -0.8505 eV per atom

Unit cell a=7.596 b=7.596 c=7.596 alpha=90.00 beta=90.00 gamma=90.00
Space group F-43m (No. 216)
Symmetry-distinct sites (fractional):
Ac  0.000  0.000  0.000 [4 per cell]
Nd  0.000  0.000  0.500 [4 per cell]
As  0.250  0.250  0.250 [4 per cell]
Au  0.250  0.250  0.750 [4 per cell]